[1]
SrPmGd2: relaxed, PBE.

Unit cell a=5.2692 b=5.2692 c=5.2562 alpha=90.00 beta=90.00 gamma=90.00
With the nearest neighbours (Å) after each atom.
Atoms (fractional coordinates):
Sr 0.0000 0.0000 0.0000  8 Gd 3.72, 4 Pm 3.73
Pm 0.5000 0.5000 0.0000  8 Gd 3.72, 4 Sr 3.73
Gd 0.0000 0.5000 0.5000  4 Pm 3.72, 4 Sr 3.72, 4 Gd 3.73
Gd 0.5000 0.0000 0.5000  4 Pm 3.72, 4 Sr 3.72, 4 Gd 3.73

Properties
As for the energy relative to the elements: 177 meV per atom. Its space group is No. 123. For the energy above the most stable polymorph in this dataset, the calculation gives 0.32 eV/f.u.

---

[2]
CaPu4: relaxed, PBE.

Unit cell a=5.4994 b=5.4994 c=5.4994 alpha=90.00 beta=90.00 gamma=90.00
With the nearest neighbours (Å) after each atom.
Atoms (fractional coordinates):
Ca 0.0000 0.0000 0.0000  6 Pu 2.75
Pu 0.0000 0.0000 0.5000  2 Ca 2.75
Pu 0.0000 0.5000 0.0000  2 Ca 2.75
Pu 0.5000 0.0000 0.0000  2 Ca 2.75
Pu 0.5000 0.5000 0.5000  12 Pu 3.89

Properties
As for the energy relative to the elements: 1331 meV per atom. Its space group is No. 221.

---

[3]
Hf2TiAl2: relaxed, PBE.

Unit cell a=8.2069 b=8.2069 c=2.9277 alpha=90.00 beta=90.00 gamma=90.00
With the nearest neighbours (Å) after each atom.
Atoms (fractional coordinates):
Hf 0.1261 0.3739 0.0000  6 Al 2.76-2.88, 3 Hf 2.93
Hf 0.3739 0.8739 0.0000  6 Al 2.76-2.88, 3 Hf 2.93
Hf 0.6261 0.1261 0.0000  6 Al 2.76-2.88, 3 Hf 2.93
Hf 0.8739 0.6261 0.0000  6 Al 2.76-2.88, 3 Hf 2.93
Ti 0.0000 0.0000 0.0000  2 Ti 2.93, 4 Hf 3.24
Ti 0.5000 0.5000 0.0000  2 Ti 2.93, 4 Hf 3.24
Al 0.1725 0.6725 0.5000  6 Hf 2.76-2.88, 2 Al 2.93
Al 0.3275 0.1725 0.5000  6 Hf 2.76-2.88, 2 Al 2.93
Al 0.6725 0.8275 0.5000  6 Hf 2.76-2.88, 2 Al 2.93
Al 0.8275 0.3275 0.5000  6 Hf 2.76-2.88, 2 Al 2.93

Properties
As for the energy relative to the elements: 61 meV per atom. Its space group is No. 127. For the energy above the most stable polymorph in this dataset, the calculation gives 1.57 eV/f.u.

---

[4]
NiMo2Se: relaxed, PBE.

Unit cell a=4.8437 b=4.8437 c=2.8997 alpha=98.63 beta=98.63 gamma=114.20
With the nearest neighbours (Å) after each atom.
Atoms (fractional coordinates):
Ni 0.0000 0.0000 0.0000  4 Mo 2.63, 2 Se 2.63, 2 Ni 2.90
Mo 0.0000 0.5000 0.5000  2 Se 2.63, 2 Ni 2.63, 4 Mo 2.63-2.90
Mo 0.5000 0.0000 0.5000  2 Ni 2.63, 2 Se 2.63, 4 Mo 2.63-2.90
Se 0.5000 0.5000 0.0000  4 Mo 2.63, 2 Ni 2.63, 2 Se 2.90

Properties
Its space group is No. 12. The raw formation energy comes out at 1.320 eV/f.u.

---

[5]
MnCd2Br: relaxed, PBE.

Unit cell a=7.0889 b=7.0889 c=7.0889 alpha=153.41 beta=140.65 gamma=48.13
With the nearest neighbours (Å) after each atom.
Atoms (fractional coordinates):
Mn 0.0000 0.0000 0.0000  2 Br 2.63, 6 Cd 2.89-2.93
Cd 0.1844 0.6844 0.5000  2 Mn 2.89, 2 Cd 3.04
Cd 0.5391 0.5391 0.0000  4 Mn 2.93, 4 Cd 3.04-3.26
Br 0.8402 0.3402 0.5000  2 Mn 2.63

Properties
Its space group is No. 44. For the energy above the most stable polymorph in this dataset, the calculation gives 0.19 eV/f.u. The raw formation energy comes out at 0.245 eV/f.u.

---

[6]
YFeIr: relaxed, PBE.

Unit cell a=7.4304 b=7.4304 c=7.4304 alpha=148.02 beta=147.88 gamma=45.96
With the nearest neighbours (Å) after each atom.
Atoms (fractional coordinates):
Y 0.1722 0.1722 0.0000  5 Ir 2.98-3.02, 4 Fe 3.12-3.13
Y 0.8278 0.8278 0.0000  5 Ir 2.98-3.02, 4 Fe 3.12-3.13
Fe 0.0000 0.5000 0.5000  4 Ir 2.55
Fe 0.5000 0.0000 0.5000  4 Ir 2.54
Ir 0.3903 0.3903 0.0000  4 Fe 2.54-2.55
Ir 0.6097 0.6097 0.0000  4 Fe 2.54-2.55

Properties
As for the energy relative to the elements: -342 meV per atom. Its space group is No. 71.

---

[7]
NaAlPdAu: relaxed, PBE.

Unit cell a=4.5513 b=4.5513 c=4.5513 alpha=60.00 beta=60.00 gamma=60.00
With the nearest neighbours (Å) after each atom.
Atoms (fractional coordinates):
Na 0.0000 0.0000 0.0000  4 Pd 2.79, 4 Au 2.79
Al 0.5000 0.5000 0.5000  4 Pd 2.79, 4 Au 2.79
Pd 0.7500 0.7500 0.7500  4 Al 2.79, 4 Na 2.79
Au 0.2500 0.2500 0.2500  4 Na 2.79, 4 Al 2.79

Properties
As for the energy relative to the elements: -350 meV per atom. Its space group is No. 216.

---

[8]
Nd2ScGe4Ir3: relaxed, PBE.

Unit cell a=4.2548 b=4.2548 c=10.8393 alpha=90.00 beta=90.00 gamma=90.00
With the nearest neighbours (Å) after each atom.
Atoms (fractional coordinates):
Nd 0.0000 0.5000 0.2370  8 Ge 3.24-3.34, 6 Ir 3.26-3.56, 2 Sc 3.56
Nd 0.5000 0.0000 0.7630  8 Ge 3.24-3.34, 6 Ir 3.26-3.56, 2 Sc 3.56
Sc 0.0000 0.0000 0.5000  4 Ge 2.69, 4 Ir 3.01
Ge 0.0000 0.0000 0.0000  4 Ir 2.49
Ge 0.0000 0.5000 0.6523  3 Ir 2.47-2.69, 2 Sc 2.69
Ge 0.5000 0.0000 0.3477  3 Ir 2.47-2.69, 2 Sc 2.69
Ge 0.5000 0.5000 0.0000  4 Ir 2.49
Ir 0.0000 0.5000 0.8799  5 Ge 2.47-2.49
Ir 0.5000 0.0000 0.1201  5 Ge 2.47-2.49
Ir 0.5000 0.5000 0.5000  4 Ge 2.69, 4 Sc 3.01

Properties
As for the energy relative to the elements: -777 meV per atom. Its space group is No. 115.

---

no.,total magnetization (μB/atom),DOS(E_F) (states/eV/atom)
1,3.85,2.141
2,4.81,7.189
3,0.00,0.889
4,0.00,0.739
5,1.01,0.508
6,1.04,0.962
7,0.00,0.401
8,0.00,0.510